## OsPb (GGA-PBE)

Data for a geometry-optimized OsPb structure.

Unit cell a=8.214 b=8.214 c=8.214 alpha=90.00 beta=90.00 gamma=90.00
Element x y z (fractional)
Pb1 0.704 0.704 0.296
Os1 0.111 0.889 0.889
Pb2 0.204 0.796 0.204
Pb3 0.704 0.296 0.704
Os2 0.611 0.389 0.389
Os3 0.611 0.611 0.611
Pb4 0.796 0.204 0.204
Os4 0.111 0.111 0.111
Pb5 0.796 0.796 0.796
Os5 0.389 0.389 0.611
Pb6 0.296 0.296 0.296
Os6 0.889 0.889 0.111
Pb7 0.296 0.704 0.704
Pb8 0.204 0.204 0.796
Os7 0.889 0.111 0.889
Os8 0.389 0.611 0.389

DFT total energy   -0.23114 hartree per atom
Crystal system   cubic
Energy of formation from the pure elements   114 kJ/mol of atoms